First-principles (PBE-GGA) data for crystalline LiCe2TiO6 at its relaxed geometry, as listed in Alexandria. Values from VASP.

Cell and atoms, written as Quantum ESPRESSO input:
```
&SYSTEM
  ibrav = 0, nat = 20, ntyp = 4
/
ATOMIC_SPECIES
Li 6.94 Li.upf
Ce 140.12 Ce.upf
Ti 47.87 Ti.upf
O 16.00 O.upf
CELL_PARAMETERS angstrom
5.4227 0.0000 0.0000
0.0000 5.7459 0.0000
-5.3094 0.0000 7.7313
ATOMIC_POSITIONS crystal
Li 0.0000 0.0000 0.0000
Li 0.0000 0.5000 0.5000
Ce 0.2304 0.0693 0.7484
Ce 0.2304 0.4307 0.2484
Ce 0.7696 0.5693 0.7516
Ce 0.7696 0.9307 0.2516
Ti 0.5000 0.0000 0.5000
Ti 0.5000 0.5000 0.0000
O 0.1475 0.1787 0.4451
O 0.1475 0.3213 0.9451
O 0.2611 0.7068 0.4364
O 0.2611 0.7932 0.9364
O 0.3748 0.0441 0.2586
O 0.3748 0.4559 0.7586
O 0.6252 0.5441 0.2414
O 0.6252 0.9559 0.7414
O 0.7389 0.2068 0.0636
O 0.7389 0.2932 0.5636
O 0.8525 0.6787 0.0549
O 0.8525 0.8213 0.5549
```

Output
* total magnetization: 2.1 μB per cell
* total energy: -8.27 eV/atom
* formation energy (no corrections): -31.27 eV per formula unit
* density of states at the Fermi level: 0.843 states/eV/atom